*A*
Material: BaSr3Cu
Method: DFT, GGA-PBE
State: relaxed

Cell and atoms, written as extended XYZ:
```
5
Lattice="6.7531 0.0000 0.0000 0.0000 6.7531 0.0000 0.0000 0.0000 6.7531" Properties=species:S:1:pos:R:3 pbc="T T T"
Ba 0.0000 0.0000 0.0000
Sr 0.0000 3.3765 0.0000
Sr 3.3765 0.0000 0.0000
Sr 0.0000 0.0000 3.3765
Cu 3.3765 3.3765 3.3765
```

Results
DOS at the Fermi energy ... 1.110 states/eV per atom
M_tot ... 3.75 μB/f.u.
Symmetry ... Pm-3m (221)
Volume ... 61.59 Å³ per atom

*B*
Material: BaSr3Cu
Method: DFT, GGA-PBE
State: relaxed

Cell and atoms, written as extended XYZ:
```
5
Lattice="-6.1500 0.7239 -0.3293 -0.7689 -6.0684 1.0193 -0.2032 1.0517 6.1080" Properties=species:S:1:pos:R:3 pbc="T T T"
Sr -3.0750 0.3620 -0.1646
Sr -0.1016 0.5258 3.0540
Sr -0.3844 -3.0342 0.5096
Ba -3.5611 -2.1464 3.3990
Cu 0.0000 0.0000 0.0000
```

Results
DOS at the Fermi energy ... 0.812 states/eV per atom
M_tot ... 0.00 μB/f.u.
Symmetry ... Pm-3m (221)
Volume ... 47.69 Å³ per atom

Going by the computed energies, the most stable comes first: *B*, *A*.

*A*
Material: Ba2SrTlCu
Method: DFT, GGA-PBE
State: relaxed

Cell and atoms, written as extended XYZ:
```
5
Lattice="-0.7910 -4.6967 4.2113 -2.3794 -3.7087 -4.5831 4.7676 -1.7515 -1.0579" Properties=species:S:1:pos:R:3 pbc="T T T"
Ba -1.1897 -1.8543 -2.2915
Ba -0.3955 -2.3484 2.1057
Cu 0.0000 0.0000 0.0000
Tl 2.3838 -0.8757 -0.5289
Sr 0.7986 -5.0784 -0.7148
```

Results
DOS at the Fermi energy ... 0.671 states/eV per atom
M_tot ... 0.00 μB/f.u.
Symmetry ... P4/mmm (123)
Volume ... 41.94 Å³ per atom

*B*
Material: Ba2SrTlCu
Method: DFT, GGA-PBE
State: relaxed

Cell and atoms, written as extended XYZ:
```
5
Lattice="6.1501 0.0000 0.0000 0.0000 5.9731 0.0000 0.0000 0.0000 6.1501" Properties=species:S:1:pos:R:3 pbc="T T T"
Ba 0.0000 0.0000 3.0750
Ba 3.0750 0.0000 0.0000
Sr 0.0000 2.9865 0.0000
Tl 3.0750 2.9865 3.0750
Cu 0.0000 0.0000 0.0000
```

Results
DOS at the Fermi energy ... 1.458 states/eV per atom
M_tot ... 0.00 μB/f.u.
Symmetry ... P4/mmm (123)
Volume ... 45.18 Å³ per atom

Going by the computed energies, the most stable comes first: *A*, *B*.

*A*
Material: Ba2TaCu
Method: DFT, GGA-PBE
State: relaxed

Cell and atoms, written as extended XYZ:
```
4
Lattice="-2.9173 -1.2218 -1.5492 0.7670 -3.2500 1.1187 -4.9041 1.5899 7.9811" Properties=species:S:1:pos:R:3 pbc="T T T"
Ba -0.0896 0.0290 0.1458
Ba -2.3625 0.7659 3.8448
Ta -4.7532 -1.0434 5.7706
Cu -2.3012 -1.8384 1.7801
```

Results
DOS at the Fermi energy ... 1.201 states/eV per atom
M_tot ... 0.00 μB/f.u.
Symmetry ... P4/mmm (123)
Volume ... 29.46 Å³ per atom

*B*
Material: Ba2TaCu
Method: DFT, GGA-PBE
State: relaxed

Cell and atoms, written as extended XYZ:
```
4
Lattice="3.5393 0.0000 0.0000 0.0000 3.5393 0.0000 0.0000 0.0000 9.8655" Properties=species:S:1:pos:R:3 pbc="T T T"
Cu 0.0000 0.0000 5.6428
Ba 1.7697 1.7697 3.2694
Ba 0.0000 0.0000 9.1852
Ta 1.7697 1.7697 6.5664
```

Results
DOS at the Fermi energy ... 1.721 states/eV per atom
M_tot ... 0.34 μB/f.u.
Symmetry ... P4mm (99)
Volume ... 30.90 Å³ per atom

Going by the computed energies, the most stable comes first: *B*, *A*.

*A*
Material: BaTbCu
Method: DFT, GGA-PBE
State: relaxed

Cell and atoms, written as extended XYZ:
```
6
Lattice="-4.7554 2.2669 0.4259 1.3172 -3.4705 0.3850 2.2971 2.3371 13.2096" Properties=species:S:1:pos:R:3 pbc="T T T"
Cu 0.7349 0.2571 6.8380
Cu -2.7889 0.2273 0.4448
Ba -1.3055 1.7340 8.9876
Ba -1.9792 1.0486 5.1138
Tb -0.1490 -0.6398 1.7418
Tb 1.6230 1.1631 11.9318
```

Results
DOS at the Fermi energy ... 1.142 states/eV per atom
M_tot ... 0.00 μB/f.u.
Symmetry ... Amm2 (38)
Volume ... 31.59 Å³ per atom

*B*
Material: BaTbCu
Method: DFT, GGA-PBE
State: relaxed

Cell and atoms, written as extended XYZ:
```
3
Lattice="-3.6630 0.6885 0.3934 0.3701 -0.1598 3.7261 2.9158 6.3979 -1.9001" Properties=species:S:1:pos:R:3 pbc="T T T"
Cu -1.1579 2.8288 2.1212
Tb 0.7216 3.7876 0.0908
Ba 0.0591 0.3101 0.0074
```

Results
DOS at the Fermi energy ... 0.991 states/eV per atom
M_tot ... 0.00 μB/f.u.
Symmetry ... I4mm (107)
Volume ... 31.76 Å³ per atom

Going by the computed energies, the most stable comes first: *B*, *A*.

*A*
Material: BaCu2Tc
Method: DFT, GGA-PBE
State: relaxed

Cell and atoms, written as extended XYZ:
```
8
Lattice="-1.1793 2.4667 4.0611 1.3925 -3.8212 2.7254 8.1434 2.5276 3.7805" Properties=species:S:1:pos:R:3 pbc="T T T"
Tc 4.8212 -0.9855 4.9496
Tc 0.1066 -0.6773 3.3933
Cu 5.9455 1.6669 8.0915
Cu 2.4635 -0.8306 4.1726
Cu 1.7680 1.0785 2.8076
Cu 6.5360 0.4313 6.0625
Ba 3.5353 2.1585 5.6175
Ba 0.0000 0.0000 0.0000
```

Results
DOS at the Fermi energy ... 0.819 states/eV per atom
M_tot ... 2.77 μB/f.u.
Symmetry ... I4_1/amd (141)
Volume ... 25.95 Å³ per atom

*B*
Material: BaCu2Tc
Method: DFT, GGA-PBE
State: relaxed

Cell and atoms, written as extended XYZ:
```
4
Lattice="-2.0761 2.1845 0.3465 -2.2556 -1.8986 -1.5446 -2.0506 -3.0107 6.6953" Properties=species:S:1:pos:R:3 pbc="T T T"
Cu -2.6631 -0.5871 1.0244
Cu -0.1710 -0.2511 0.5584
Tc -0.8621 -1.2658 2.8148
Ba -3.7114 -2.1263 4.4472
```

Results
DOS at the Fermi energy ... 1.073 states/eV per atom
M_tot ... 0.00 μB/f.u.
Symmetry ... Pmm2 (25)
Volume ... 19.24 Å³ per atom

*C*
Material: BaCu2Tc
Method: DFT, GGA-PBE
State: relaxed

Cell and atoms, written as extended XYZ:
```
4
Lattice="-0.7687 2.1387 -3.6780 -2.5068 -1.7694 -3.0460 -5.6779 2.5448 0.1211" Properties=species:S:1:pos:R:3 pbc="T T T"
Ba -2.2417 0.7308 -1.6457
Tc -5.3948 1.9417 -2.8296
Cu -4.7680 2.0641 -0.3491
Cu -6.7035 2.1793 -4.9589
```

Results
DOS at the Fermi energy ... 0.507 states/eV per atom
M_tot ... 0.96 μB/f.u.
Symmetry ... R3m (160)
Volume ... 23.06 Å³ per atom

Going by the computed energies, the most stable comes first: *C*, *B*, *A*.

*A*
Material: BaCu2Tc
Method: DFT, GGA-PBE
State: relaxed

Cell and atoms, written as extended XYZ:
```
4
Lattice="3.3119 0.0000 0.0000 0.0000 3.3119 0.0000 0.0000 0.0000 7.1718" Properties=species:S:1:pos:R:3 pbc="T T T"
Cu 0.0000 0.0000 3.0091
Cu 0.0000 0.0000 0.5768
Tc 1.6560 1.6560 1.7929
Ba 1.6560 1.6560 5.3788
```

Results
DOS at the Fermi energy ... 0.996 states/eV per atom
M_tot ... 1.25 μB/f.u.
Symmetry ... P4/mmm (123)
Volume ... 19.67 Å³ per atom

*B*
Material: BaCu2Tc
Method: DFT, GGA-PBE
State: relaxed

Cell and atoms, written as extended XYZ:
```
4
Lattice="4.8297 0.0000 0.0000 2.4149 4.1826 0.0000 2.4149 1.3942 3.9434" Properties=species:S:1:pos:R:3 pbc="T T T"
Tc 7.2446 4.1826 2.9576
Ba 4.8297 2.7884 1.9717
Cu 0.0000 0.0000 0.0000
Cu 2.4149 1.3942 0.9859
```

Results
DOS at the Fermi energy ... 1.140 states/eV per atom
M_tot ... 2.07 μB/f.u.
Symmetry ... F-43m (216)
Volume ... 19.92 Å³ per atom

*C*
Material: BaCu2Tc
Method: DFT, GGA-PBE
State: relaxed

Cell and atoms, written as extended XYZ:
```
4
Lattice="-4.3305 0.0743 -5.3686 -1.3807 -1.2755 4.6705 -2.0789 2.2156 -0.0063" Properties=species:S:1:pos:R:3 pbc="T T T"
Tc -1.7298 0.4700 2.3321
Cu -3.2047 1.1450 -2.6875
Cu 0.0000 0.0000 0.0000
Ba -2.8556 -0.6006 -0.3491
```

Results
DOS at the Fermi energy ... 0.857 states/eV per atom
M_tot ... 0.56 μB/f.u.
Symmetry ... Cmmm (65)
Volume ... 18.68 Å³ per atom

Going by the computed energies, the most stable comes first: *A*, *C*, *B*.

*A*
Material: BaCu2Tc
Method: DFT, GGA-PBE
State: relaxed

Cell and atoms, written as extended XYZ:
```
4
Lattice="5.4076 0.0028 0.0000 2.0981 4.9840 0.0000 -3.7528 -2.4934 2.9902" Properties=species:S:1:pos:R:3 pbc="T T T"
Ba 2.7038 0.0014 1.4951
Tc 3.7528 2.4934 0.0000
Cu 1.0490 2.4920 1.4951
Cu 0.0000 0.0000 0.0000
```

Results
DOS at the Fermi energy ... 1.141 states/eV per atom
M_tot ... 2.22 μB/f.u.
Symmetry ... I-4m2 (119)
Volume ... 20.14 Å³ per atom

*B*
Material: BaCu2Tc
Method: DFT, GGA-PBE
State: relaxed

Cell and atoms, written as extended XYZ:
```
4
Lattice="4.9626 0.0000 0.0000 0.0000 4.9626 0.0000 0.0000 0.0000 3.0872" Properties=species:S:1:pos:R:3 pbc="T T T"
Cu 2.4813 2.4813 0.0000
Cu 0.0000 0.0000 0.0000
Tc 0.0000 2.4813 1.5436
Ba 2.4813 0.0000 1.5436
```

Results
DOS at the Fermi energy ... 1.161 states/eV per atom
M_tot ... 0.40 μB/f.u.
Symmetry ... P4/mmm (123)
Volume ... 19.01 Å³ per atom

*C*
Material: BaCu2Tc
Method: DFT, GGA-PBE
State: relaxed

Cell and atoms, written as extended XYZ:
```
4
Lattice="0.0000 3.4784 3.4784 3.4784 0.0000 3.4784 3.4784 3.4784 0.0000" Properties=species:S:1:pos:R:3 pbc="T T T"
Tc 0.0000 0.0000 0.0000
Cu 5.2176 5.2176 5.2176
Cu 1.7392 1.7392 1.7392
Ba 3.4784 3.4784 3.4784
```

Results
DOS at the Fermi energy ... 1.033 states/eV per atom
M_tot ... 2.51 μB/f.u.
Symmetry ... Fm-3m (225)
Volume ... 21.04 Å³ per atom

*D*
Material: BaCu2Tc
Method: DFT, GGA-PBE
State: relaxed

Cell and atoms, written as extended XYZ:
```
4
Lattice="-0.1017 -4.4414 3.6767 -1.5038 -5.1624 -2.0839 3.6374 4.4740 0.0837" Properties=species:S:1:pos:R:3 pbc="T T T"
Ba 0.6741 -2.6934 -0.6105
Cu 1.3553 -2.4517 2.2895
Cu -1.5485 -9.2627 1.5363
Tc -0.8572 -5.1278 0.8505
```

Results
DOS at the Fermi energy ... 0.893 states/eV per atom
M_tot ... 0.00 μB/f.u.
Symmetry ... Imm2 (44)
Volume ... 19.13 Å³ per atom

Going by the computed energies, the most stable comes first: *D*, *B*, *C*, *A*.

*A*
Material: BaCu2Tc
Method: DFT, GGA-PBE
State: relaxed

Cell and atoms, written as extended XYZ:
```
4
Lattice="9.4620 -0.0138 -0.0081 8.9612 3.0375 -0.0081 8.9612 1.4707 2.6577" Properties=species:S:1:pos:R:3 pbc="T T T"
Cu 13.2483 2.1743 1.2779
Cu 0.4439 0.0729 0.0428
Ba 6.8461 1.1236 0.6603
Tc 20.5384 3.3707 1.9810
```

Results
DOS at the Fermi energy ... 1.345 states/eV per atom
M_tot ... 0.31 μB/f.u.
Symmetry ... R-3m (166)
Volume ... 19.24 Å³ per atom

*B*
Material: BaCu2Tc
Method: DFT, GGA-PBE
State: relaxed

Cell and atoms, written as extended XYZ:
```
4
Lattice="5.8085 0.0389 0.0026 2.7547 5.1139 -0.0026 -3.6402 -3.6422 2.6876" Properties=species:S:1:pos:R:3 pbc="T T T"
Cu 4.6148 2.7769 0.0000
Cu 8.2299 4.9522 0.0000
Tc 3.2249 -0.5135 1.3451
Ba 1.6980 2.0240 1.3425
```

Results
DOS at the Fermi energy ... 1.038 states/eV per atom
M_tot ... 0.00 μB/f.u.
Symmetry ... Immm (71)
Volume ... 19.88 Å³ per atom

*C*
Material: BaCu2Tc
Method: DFT, GGA-PBE
State: relaxed

Cell and atoms, written as extended XYZ:
```
4
Lattice="4.1395 0.0000 0.0000 0.0000 3.0556 0.0384 0.0000 0.9342 6.4693" Properties=species:S:1:pos:R:3 pbc="T T T"
Cu 2.0698 0.5642 1.8439
Cu 0.0000 0.4692 0.4503
Tc 0.0000 1.9676 2.4923
Ba 2.0698 2.9837 4.9750
```

Results
DOS at the Fermi energy ... 1.140 states/eV per atom
M_tot ... 0.00 μB/f.u.
Symmetry ... Pm (6)
Volume ... 20.42 Å³ per atom

Going by the computed energies, the most stable comes first: *C*, *B*, *A*.

*A*
Material: BaCuTc2
Method: DFT, GGA-PBE
State: relaxed

Cell and atoms, written as extended XYZ:
```
4
Lattice="5.6473 -0.0812 -0.0552 1.6744 5.3940 0.0552 -2.7561 -3.9032 3.0117" Properties=species:S:1:pos:R:3 pbc="T T T"
Tc 7.1970 5.2224 0.0000
Tc 3.7758 -0.3013 1.4783
Ba 3.6676 2.6613 0.0000
Cu 0.9076 1.7965 1.5335
```

Results
DOS at the Fermi energy ... 1.244 states/eV per atom
M_tot ... 0.64 μB/f.u.
Symmetry ... Imm2 (44)
Volume ... 23.23 Å³ per atom

*B*
Material: BaCuTc2
Method: DFT, GGA-PBE
State: relaxed

Cell and atoms, written as extended XYZ:
```
4
Lattice="3.3814 0.0000 0.0000 0.0000 3.3807 0.0000 0.0000 0.0000 7.4006" Properties=species:S:1:pos:R:3 pbc="T T T"
Tc 0.0000 0.0000 6.6503
Tc 0.0000 0.0000 4.4507
Cu 1.6907 1.6904 5.5505
Ba 1.6907 1.6904 1.8502
```

Results
DOS at the Fermi energy ... 1.057 states/eV per atom
M_tot ... 0.00 μB/f.u.
Symmetry ... P4/mmm (123)
Volume ... 21.15 Å³ per atom

Going by the computed energies, the most stable comes first: *B*, *A*.

*A*
Material: BaCuTc2
Method: DFT, GGA-PBE
State: relaxed

Cell and atoms, written as extended XYZ:
```
8
Lattice="4.6778 0.0000 0.0000 0.0000 4.6778 0.0000 2.3389 2.3389 9.2569" Properties=species:S:1:pos:R:3 pbc="T T T"
Tc 2.3389 3.5084 2.3142
Tc 5.8473 4.6778 6.9427
Tc 3.5084 4.6778 6.9427
Tc 2.3389 1.1695 2.3142
Ba 4.6778 2.3389 4.6285
Ba 0.0000 0.0000 0.0000
Cu 2.3389 2.3389 0.0000
Cu 2.3389 4.6778 4.6285
```

Results
DOS at the Fermi energy ... 1.445 states/eV per atom
M_tot ... 0.00 μB/f.u.
Symmetry ... I4_1/amd (141)
Volume ... 25.32 Å³ per atom

*B*
Material: BaCuTc2
Method: DFT, GGA-PBE
State: relaxed

Cell and atoms, written as extended XYZ:
```
4
Lattice="-2.5664 -1.7349 -0.7654 0.2681 -2.1898 4.0643 -3.0832 3.6125 2.1497" Properties=species:S:1:pos:R:3 pbc="T T T"
Ba -2.8248 0.9388 0.6922
Tc 0.0000 0.0000 0.0000
Tc -1.1492 -1.9623 1.6495
Cu -1.4076 0.7114 3.1070
```

Results
DOS at the Fermi energy ... 1.214 states/eV per atom
M_tot ... 0.15 μB/f.u.
Symmetry ... Pmmm (47)
Volume ... 19.23 Å³ per atom

Going by the computed energies, the most stable comes first: *A*, *B*.

*A*
Material: BaCuTc2
Method: DFT, GGA-PBE
State: relaxed

Cell and atoms, written as extended XYZ:
```
4
Lattice="4.3687 -0.0129 0.0551 2.1907 3.7797 0.0551 2.1283 1.2222 5.9141" Properties=species:S:1:pos:R:3 pbc="T T T"
Cu 2.1719 1.2473 1.5061
Tc 4.3560 2.5015 1.8089
Tc 6.5472 3.7598 1.3134
Ba 6.5158 3.7418 4.5182
```

Results
DOS at the Fermi energy ... 1.307 states/eV per atom
M_tot ... 0.00 μB/f.u.
Symmetry ... C2/m (12)
Volume ... 24.31 Å³ per atom

*B*
Material: BaCuTc2
Method: DFT, GGA-PBE
State: relaxed

Cell and atoms, written as extended XYZ:
```
4
Lattice="-0.0664 -3.5005 -3.0971 -3.9825 -1.1201 -2.1761 -0.5129 0.9184 -4.5545" Properties=species:S:1:pos:R:3 pbc="T T T"
Tc -1.1404 -0.9256 -2.4570
Tc -3.4213 -2.7767 -7.3709
Cu 0.0000 0.0000 0.0000
Ba -2.2809 -1.8511 -4.9139
```

Results
DOS at the Fermi energy ... 1.505 states/eV per atom
M_tot ... 0.00 μB/f.u.
Symmetry ... Fm-3m (225)
Volume ... 18.06 Å³ per atom

Going by the computed energies, the most stable comes first: *A*, *B*.

*A*
Material: BaCuTc2
Method: DFT, GGA-PBE
State: relaxed

Cell and atoms, written as extended XYZ:
```
4
Lattice="5.8745 0.0027 0.0000 3.2375 4.9019 0.0000 -4.5560 -2.4523 2.7819" Properties=species:S:1:pos:R:3 pbc="T T T"
Cu 2.9372 0.0014 1.3909
Ba 1.6187 2.4509 1.3909
Tc 4.5560 2.4523 0.0000
Tc 0.0000 0.0000 0.0000
```

Results
DOS at the Fermi energy ... 1.272 states/eV per atom
M_tot ... 0.00 μB/f.u.
Symmetry ... I4/mmm (139)
Volume ... 20.02 Å³ per atom

*B*
Material: BaCuTc2
Method: DFT, GGA-PBE
State: relaxed

Cell and atoms, written as extended XYZ:
```
4
Lattice="3.9275 0.0000 0.0000 0.0000 3.9275 0.0000 0.0000 0.0000 5.1455" Properties=species:S:1:pos:R:3 pbc="T T T"
Tc 1.9638 1.9638 0.0000
Tc 0.0000 0.0000 0.0000
Ba 1.9638 0.0000 2.5727
Cu 0.0000 1.9638 2.5727
```

Results
DOS at the Fermi energy ... 1.103 states/eV per atom
M_tot ... 0.00 μB/f.u.
Symmetry ... P4/mmm (123)
Volume ... 19.84 Å³ per atom

Going by the computed energies, the most stable comes first: *B*, *A*.